A plane-wave DFT calculation with PBE+U was carried out for MnAgHg2F6 after structural relaxation.

CIF file:
```
data_MnAgHg2F6
_space_group_name_H-M_alt 'P 1'
_space_group_IT_number 1
_cell_length_a 6.148
_cell_length_b 4.949
_cell_length_c 11.254
_cell_angle_alpha 90.00
_cell_angle_beta 98.88
_cell_angle_gamma 90.00
loop_
_space_group_symop_operation_xyz
'x,y,z'
loop_
_atom_site_label
_atom_site_type_symbol
_atom_site_fract_x
_atom_site_fract_y
_atom_site_fract_z
Mn1 Mn 0.000 0.000 0.000
Mn2 Mn 0.000 0.500 0.500
Ag1 Ag 0.500 0.000 0.500
Ag2 Ag 0.500 0.500 0.000
Hg1 Hg 0.366 0.092 0.734
Hg2 Hg 0.366 0.408 0.234
Hg3 Hg 0.634 0.592 0.766
Hg4 Hg 0.634 0.908 0.266
F1 F 0.018 0.245 0.130
F2 F 0.018 0.255 0.630
F3 F 0.226 0.707 0.592
F4 F 0.226 0.793 0.092
F5 F 0.258 0.196 0.922
F6 F 0.258 0.304 0.422
F7 F 0.742 0.696 0.578
F8 F 0.742 0.804 0.078
F9 F 0.774 0.207 0.908
F10 F 0.774 0.293 0.408
F11 F 0.982 0.745 0.370
F12 F 0.982 0.755 0.870
```

DOS(E_F)   0.126 states/eV/atom
Calculated total energy   -76.02 eV for the cell shown